(1)
The following is a GGA-PBEsol calculation of a relaxed PtAu crystal, from the Alexandria database.

Results
spin magnetization: 0.000 μB per formula unit
symmetry: P4/nmm, No. 129
total DFT energy (no corrections): -5.41 eV per atom
mass density: 20.442 Mg/m³
formation energy: 0.07 eV/f.u.

abc: 2.8066 2.8066 8.0862
angles: 90.00 90.00 90.00
Last column: nearest neighbours and their distance in Å.
Sites, in units of the cell vectors:
Pt 0.2500 0.2500 0.1181  8 Pt 2.75-2.81, 4 Au 2.84
Pt 0.7500 0.7500 0.8819  8 Pt 2.75-2.81, 4 Au 2.84
Au 0.2500 0.2500 0.6306  8 Au 2.81-2.90, 4 Pt 2.84
Au 0.7500 0.7500 0.3694  8 Au 2.81-2.90, 4 Pt 2.84

(2)
The following is a GGA-PBEsol calculation of a relaxed TcSbIr3 crystal, from the Alexandria database.

Results
spin magnetization: 5.252 μB per formula unit
symmetry: Pm-3m, No. 221
total DFT energy (no corrections): -6.79 eV per atom
mass density: 12.327 Mg/m³

abc: 4.7516 4.7516 4.7516
angles: 90.00 90.00 90.00
Last column: nearest neighbours and their distance in Å.
Sites, in units of the cell vectors:
Tc 0.0000 0.0000 0.0000  12 Ir 3.36
Sb 0.5000 0.5000 0.5000  6 Ir 2.38
Ir 0.0000 0.5000 0.5000  2 Sb 2.38
Ir 0.5000 0.0000 0.5000  2 Sb 2.38
Ir 0.5000 0.5000 0.0000  2 Sb 2.38

(3)
The following is a GGA-PBEsol calculation of a relaxed MgGa crystal, from the Alexandria database.

Results
spin magnetization: 0.000 μB per formula unit
symmetry: I4_1/a, No. 88
total DFT energy (no corrections): -2.70 eV per atom
mass density: 4.125 Mg/m³
formation energy: -0.35 eV/f.u.

abc: 7.9108 7.9108 7.9108
angles: 96.96 96.96 139.27
Last column: nearest neighbours and their distance in Å.
Sites, in units of the cell vectors:
Mg 0.0348 0.7258 0.0447  6 Ga 2.80-3.01
Mg 0.1811 0.9901 0.4553  6 Ga 2.80-3.01
Mg 0.2258 0.6811 0.6910  6 Ga 2.80-3.01
Mg 0.4901 0.5348 0.8090  6 Ga 2.80-3.01
Mg 0.5099 0.4652 0.1910  6 Ga 2.80-3.01
Mg 0.7742 0.3189 0.3090  6 Ga 2.80-3.01
Mg 0.8189 0.0099 0.5447  6 Ga 2.80-3.01
Mg 0.9652 0.2742 0.9553  6 Ga 2.80-3.01
Ga 0.0673 0.0107 0.8393  3 Ga 2.62-2.85, 5 Mg 2.80-2.92
Ga 0.2720 0.4327 0.4434  3 Ga 2.62-2.85, 5 Mg 2.80-2.92
Ga 0.3286 0.7720 0.3393  3 Ga 2.62-2.85, 5 Mg 2.80-2.92
Ga 0.4893 0.8286 0.0566  3 Ga 2.62-2.85, 5 Mg 2.80-2.92
Ga 0.5107 0.1714 0.9434  3 Ga 2.62-2.85, 5 Mg 2.80-2.92
Ga 0.6714 0.2280 0.6607  3 Ga 2.62-2.85, 5 Mg 2.80-2.92
Ga 0.7280 0.5673 0.5566  3 Ga 2.62-2.85, 5 Mg 2.80-2.92
Ga 0.9327 0.9893 0.1607  3 Ga 2.62-2.85, 5 Mg 2.80-2.92

(4)
The following is a GGA-PBEsol calculation of a relaxed TeAu3S crystal, from the Alexandria database.

Results
spin magnetization: 1.069 μB per formula unit
symmetry: Pm-3m, No. 221
total DFT energy (no corrections): -2.99 eV per atom
mass density: 9.345 Mg/m³

abc: 5.1092 5.1092 5.1092
angles: 90.00 90.00 90.00
Last column: nearest neighbours and their distance in Å.
Sites, in units of the cell vectors:
Te 0.0000 0.0000 0.0000  6 Au 2.55
Au 0.0000 0.0000 0.5000  2 Te 2.55
Au 0.0000 0.5000 0.0000  2 Te 2.55
Au 0.5000 0.0000 0.0000  2 Te 2.55
S 0.5000 0.5000 0.5000  12 Au 3.61

(5)
The following is a GGA-PBEsol calculation of a relaxed LaRuBr2 crystal, from the Alexandria database.

Results
spin magnetization: 2.168 μB per formula unit
symmetry: P4/mmm, No. 123
total DFT energy (no corrections): -4.91 eV per atom
mass density: 7.545 Mg/m³
relative energy among the computed polymorphs: 0.325 eV/atom

abc: 3.6693 3.6693 6.5355
angles: 90.00 90.00 90.00
Last column: nearest neighbours and their distance in Å.
Sites, in units of the cell vectors:
La 0.0000 0.0000 0.0000  8 Br 3.08, 2 Ru 3.27
Ru 0.0000 0.0000 0.5000  8 Br 3.05, 2 La 3.27
Br 0.5000 0.5000 0.2552  4 Ru 3.05, 4 La 3.08, 2 Br 3.20-3.34
Br 0.5000 0.5000 0.7448  4 Ru 3.05, 4 La 3.08, 2 Br 3.20-3.34

(6)
The following is a GGA-PBEsol calculation of a relaxed LiAgC2O4 crystal, from the Alexandria database.

Results
spin magnetization: 0.000 μB per formula unit
symmetry: P2_1, No. 4
total DFT energy (no corrections): -6.84 eV per atom
mass density: 3.970 Mg/m³
relative energy among the computed polymorphs: 0.000 eV/atom

abc: 3.4099 4.7599 10.4745
angles: 90.00 93.61 90.00
Last column: nearest neighbours and their distance in Å.
Sites, in units of the cell vectors:
Li 0.2034 0.0000 0.4038  4 O 1.99-2.16
Li 0.7966 0.5000 0.5962  4 O 1.99-2.16
Ag 0.0932 0.6092 0.9245  3 O 2.22-2.43
Ag 0.9068 0.1092 0.0755  3 O 2.22-2.43
C 0.3368 0.0224 0.6689  2 O 1.26-1.27
C 0.4383 0.6353 0.2086  2 O 1.26-1.27
C 0.5617 0.1353 0.7914  2 O 1.26-1.27
C 0.6632 0.5224 0.3311  2 O 1.26-1.27
O 0.1632 0.7911 0.6766  1 C 1.26
O 0.2325 0.8523 0.2234  1 C 1.26
O 0.3488 0.1796 0.5714  1 C 1.27
O 0.4724 0.5066 0.1037  1 C 1.27
O 0.5276 0.0066 0.8963  1 C 1.27
O 0.6512 0.6796 0.4286  1 C 1.27
O 0.7675 0.3523 0.7766  1 C 1.26
O 0.8368 0.2911 0.3234  1 C 1.26

(7)
The following is a GGA-PBEsol calculation of a relaxed BaNaTe2N crystal, from the Alexandria database.

Results
spin magnetization: 3.362 μB per formula unit
symmetry: P4/mmm, No. 123
total DFT energy (no corrections): -3.35 eV per atom
mass density: 3.284 Mg/m³

abc: 6.4748 6.4748 5.1803
angles: 90.00 90.00 90.00
Last column: nearest neighbours and their distance in Å.
Sites, in units of the cell vectors:
Ba 0.0000 0.0000 0.0000  2 N 2.59
Na 0.5000 0.5000 0.5000  8 Te 4.15, 4 N 4.58
Te 0.0000 0.5000 0.0000  2 Ba 3.24
Te 0.5000 0.0000 0.0000  2 Ba 3.24
N 0.0000 0.0000 0.5000  2 Ba 2.59

(8)
The following is a GGA-PBEsol calculation of a relaxed ZrIr2Au crystal, from the Alexandria database.

Results
spin magnetization: 0.000 μB per formula unit
symmetry: C2/m, No. 12
total DFT energy (no corrections): -8.47 eV per atom
mass density: 17.214 Mg/m³
formation energy: -1.22 eV/f.u.
relative energy among the computed polymorphs: 0.000 eV/atom

abc: 4.8440 4.8440 4.8630
angles: 101.69 101.69 35.59
Last column: nearest neighbours and their distance in Å.
Sites, in units of the cell vectors:
Zr 0.0000 0.0000 0.0000  6 Ir 2.76-2.87, 4 Au 2.85, 2 Zr 2.96
Ir 0.2546 0.2546 0.7476  3 Zr 2.76-2.87, 3 Au 2.78-2.82, 6 Ir 2.81-2.96
Ir 0.7454 0.7454 0.2524  3 Zr 2.76-2.87, 3 Au 2.78-2.82, 6 Ir 2.81-2.96
Au 0.5000 0.5000 0.5000  6 Ir 2.78-2.82, 4 Zr 2.85, 2 Au 2.96

- The lowest total DFT energy (no corrections) belongs to which entry?
  ZrIr2Au